1.
13
Lattice="-3.054 -5.380 -4.813 1.852 -5.612 5.149 -6.975 0.913 3.456" Properties=species:S:1:pos:R:3 comment="Nd8Tm4Pu, optimized geometry, DFT PBE" formation_energy_ev_per_atom=0.480 pbc="T T T"
Nd -6.188 -7.627 2.870
Nd -5.561 -1.978 2.693
Tm -5.015 -2.233 -0.678
Tm -2.562 -2.349 4.303
Nd -3.551 -5.204 -1.547
Tm 0.000 0.000 0.000
Nd -1.989 -2.452 0.923
Nd -4.627 -4.874 5.340
Nd -7.142 -4.755 0.232
Pu -4.089 -5.039 1.896
Tm -0.601 -5.496 0.168
Nd -2.617 -8.101 1.100
Nd -1.035 -5.323 3.560

---

2.
5
Lattice="5.252 0.000 0.000 0.000 4.946 0.000 0.000 0.000 5.252" Properties=species:S:1:pos:R:3 comment="HfGe2PdN, optimized geometry, DFT PBE" raw_formation_energy_mev_per_atom=1650 pbc="T T T"
N 2.626 2.473 2.626
Ge 0.000 0.000 2.626
Hf 0.000 0.000 0.000
Ge 2.626 0.000 0.000
Pd 0.000 2.473 0.000

---

3.
8
Lattice="-0.392 5.503 -3.069 -3.825 -2.131 4.547 2.648 1.937 3.136" Properties=species:S:1:pos:R:3 comment="Mg6WC, optimized geometry, DFT PBE" formation_energy_ev_per_atom=0.809 pbc="T T T"
Mg -3.173 -0.681 3.100
C -1.157 1.828 3.132
Mg 0.447 2.275 1.501
Mg -1.523 2.988 -0.561
Mg -1.616 3.924 2.224
Mg -3.475 1.841 1.796
W 0.285 5.033 -0.066
Mg -1.362 0.152 1.056

---

4.
4
Lattice="-4.842 3.530 2.652 3.026 -5.397 2.156 1.842 1.552 1.298" Properties=species:S:1:pos:R:3 comment="K2FeW, optimized geometry, DFT PBE" formation_energy_ev_per_atom=1.633 pbc="T T T"
K -0.908 -0.934 2.404
K 0.000 0.000 0.000
Fe 2.434 -1.923 1.727
W -1.500 2.541 1.975

---

5.
5
Lattice="5.755 0.000 0.000 0.000 5.755 0.000 0.000 0.000 5.099" Properties=species:S:1:pos:R:3 comment="CsNa2LiPt, optimized geometry, DFT PBE" formation_energy_ev_per_atom=-0.008 pbc="T T T"
Na 2.878 0.000 0.000
Li 0.000 0.000 2.549
Na 0.000 2.878 0.000
Cs 2.878 2.878 2.549
Pt 0.000 0.000 0.000

---

6.
10
Lattice="-1.999 -4.379 2.083 1.344 -3.242 -5.528 7.098 -0.852 5.020" Properties=species:S:1:pos:R:3 comment="CaSbS2Cl, optimized geometry, DFT PBE" raw_formation_energy_mev_per_atom=-1190 pbc="T T T"
S 0.210 -4.921 -0.239
Cl 4.509 -4.179 5.447
S 3.191 -5.151 2.137
Ca 0.449 -2.134 -0.755
Ca 5.994 -6.339 2.329
Sb 4.000 -2.586 1.704
S 3.252 -3.322 -0.563
S 6.233 -3.553 1.814
Sb 2.443 -5.888 -0.130
Cl 1.935 -4.295 -3.873

---

7.
4
Lattice="5.381 0.000 0.000 2.691 4.660 0.000 2.691 1.553 4.394" Properties=species:S:1:pos:R:3 comment="PmPrPuZn, optimized geometry, DFT PBE" formation_energy_ev_per_atom=0.188 pbc="T T T"
Pu 5.381 3.107 2.197
Zn 2.691 1.553 1.098
Pr 0.000 0.000 0.000
Pm 8.072 4.660 3.295

---

8.
16
Lattice="6.500 0.008 0.000 -0.148 6.499 0.000 0.000 0.000 6.472" Properties=species:S:1:pos:R:3 comment="Ta13Cr3, optimized geometry, DFT PBE" formation_energy_ev_per_atom=0.051 pbc="T T T"
Ta 1.638 1.578 4.854
Ta 4.706 4.937 1.618
Ta 1.583 4.963 1.618
Cr 3.111 6.494 3.252
Ta 6.405 3.278 6.440
Cr 3.111 6.494 6.456
Ta 1.622 1.594 1.618
Ta 1.619 4.965 4.854
Ta 4.752 1.559 1.618
Ta 6.308 6.458 3.273
Ta 4.752 1.524 4.854
Cr 4.753 4.891 4.854
Ta 6.405 3.278 3.268
Ta 3.223 3.298 3.273
Ta 6.308 6.458 6.436
Ta 3.223 3.298 6.436